--- one ---
Material: Ti2ZnRe2
Method: DFT, PBE
State: optimized geometry

```
10
Lattice="7.014 0.000 0.000 0.000 7.014 0.000 0.000 0.000 3.297" Properties=species:S:1:pos:R:3 pbc="T T T"
Re 2.522 6.029 0.000
Ti 5.882 2.375 1.649
Ti 2.375 1.132 1.649
Re 6.029 4.493 0.000
Re 4.493 0.985 0.000
Zn 0.000 0.000 0.000
Ti 4.639 5.882 1.649
Zn 3.507 3.507 0.000
Ti 1.132 4.639 1.649
Re 0.985 2.522 0.000
```

- Crystal system: tetragonal

***

--- two ---
Material: Ti2ZnRe2
Method: DFT, PBE
State: optimized geometry

```
5
Lattice="-1.613 1.684 -1.076 -1.746 -2.182 -0.799 -6.104 -0.256 8.754" Properties=species:S:1:pos:R:3 pbc="T T T"
Ti -2.720 -0.083 0.884
Re -4.036 -0.586 5.135
Ti -6.743 -0.671 5.996
Re -3.814 -1.852 2.820
Zn 0.000 0.000 0.000
```

- Crystal system: orthorhombic

***

According to the calculations, the structures order from most to least stable as two, one.